[1]
This record from the Alexandria database describes a relaxed Tl12S3Cl5 crystal. The functional is PBE-GGA.

It has space group Ia-3d (No. 230), with a = 18.5801 Å, b = 18.5801 Å, c = 18.5801 Å, α = 90.00°, β = 90.00° and γ = 90.00°. Symmetry generates all atoms from Tl at (0.0013, 0.0567, 0.1620), S at (0.0000, 0.2500, 0.1250), Cl at (0.0000, 0.0000, 0.0000) and Cl at (0.0000, 0.2500, 0.3750).

The value obtained for the density of states at the Fermi level is 15.24 states/eV per cell. The value obtained for the uncorrected formation energy is -0.495 eV/atom.


[2]
This record from the Alexandria database describes a relaxed Ta2TcW crystal. The functional is PBE-GGA.

It has space group P4mm (No. 99), with a = 3.2046 Å, b = 3.2046 Å, c = 6.5094 Å, α = 90.00°, β = 90.00° and γ = 90.00°. Symmetry generates all atoms from Ta at (0.0000, 0.0000, 0.0000), Ta at (0.5000, 0.5000, 0.2637), Tc at (0.0000, 0.0000, 0.5102) and W at (0.5000, 0.5000, 0.7476).

Its energy relative to the lowest polymorph listed for this composition is 119 meV per atom. The calculation puts the formation energy at -184 meV per atom. The value obtained for the density of states at the Fermi level is 2.32 states/eV per cell.


[3]
This record from the Alexandria database describes a relaxed Li3MoPb crystal. The functional is PBE-GGA.

It has space group Pm-3m (No. 221), with a = 4.9967 Å, b = 4.9967 Å, c = 4.9967 Å, α = 90.00°, β = 90.00° and γ = 90.00°. Symmetry generates all atoms from Li at (0.0000, 0.0000, 0.5000), Mo at (0.0000, 0.0000, 0.0000) and Pb at (0.5000, 0.5000, 0.5000).

Its energy relative to the lowest polymorph listed for this composition is 0 meV per atom. The calculation puts the formation energy at 1028 meV per atom. The value obtained for the density of states at the Fermi level is 2.02 states/eV per cell.


| no. | size of the total moment (μB/f.u.) |
| --- | --- |
| 1 | 0.000 |
| 2 | 0.000 |
| 3 | 4.145 |